No. 1
This record from Alexandria via LeMat-Bulk describes crystalline LaCoAu at its relaxed geometry. The functional is PBE.

Lattice parameters (Å, degrees): 6.853 6.853 6.853 90.00 90.00 90.00
Fractional positions:
La1 0.000 0.000 0.000
La2 0.000 0.500 0.500
La3 0.500 0.000 0.500
La4 0.500 0.500 0.000
Co1 0.250 0.250 0.750
Co2 0.250 0.750 0.250
Co3 0.750 0.250 0.250
Co4 0.750 0.750 0.750
Au1 0.250 0.250 0.250
Au2 0.250 0.750 0.750
Au3 0.750 0.250 0.750
Au4 0.750 0.750 0.250

Calculated values
ΔE_f   352 meV/atom
Space group   No. 216

---

No. 2
This record from Alexandria via LeMat-Bulk describes crystalline Pa3Pb2O10 at its relaxed geometry. The functional is PBE.

Lattice parameters (Å, degrees): 10.730 10.730 8.520 111.06 111.06 37.52
Fractional positions:
Pa1 0.082 0.082 0.475
Pa2 0.187 0.187 0.018
Pa3 0.250 0.750 0.000
Pa4 0.750 0.250 0.000
Pa5 0.813 0.813 0.982
Pa6 0.918 0.918 0.525
Pb1 0.339 0.339 0.728
Pb2 0.369 0.369 0.345
Pb3 0.631 0.631 0.655
Pb4 0.661 0.661 0.272
O1 0.000 0.500 0.000
O2 0.019 0.019 0.179
O3 0.127 0.651 0.953
O4 0.130 0.604 0.545
O5 0.138 0.138 0.747
O6 0.184 0.816 0.500
O7 0.249 0.249 0.271
O8 0.349 0.873 0.047
O9 0.396 0.870 0.455
O10 0.471 0.471 0.832
O11 0.500 0.000 0.000
O12 0.529 0.529 0.168
O13 0.604 0.130 0.545
O14 0.651 0.127 0.953
O15 0.751 0.751 0.729
O16 0.816 0.184 0.500
O17 0.862 0.862 0.253
O18 0.870 0.396 0.455
O19 0.873 0.349 0.047
O20 0.981 0.981 0.821

Calculated values
ΔE_f (raw)   -2.7023 eV/atom
Space group   No. 12

---

No. 3
This record from Alexandria via LeMat-Bulk describes crystalline PaZnGa3Cu at its relaxed geometry. The functional is PBE.

Lattice parameters (Å, degrees): 7.551 7.551 5.475 90.00 90.00 134.28
Fractional positions:
Pa1 0.201 0.799 0.750
Pa2 0.799 0.201 0.250
Zn1 0.140 0.860 0.250
Zn2 0.860 0.140 0.750
Ga1 0.223 0.223 0.000
Ga2 0.223 0.223 0.500
Ga3 0.335 0.665 0.250
Ga4 0.665 0.335 0.750
Ga5 0.777 0.777 0.000
Ga6 0.777 0.777 0.500
Cu1 0.400 0.600 0.750
Cu2 0.600 0.400 0.250

Calculated values
ΔE_f   112 meV/atom
Space group   No. 63

---

No. 4
This record from Alexandria via LeMat-Bulk describes crystalline PI3O at its relaxed geometry. The functional is PBE.

Lattice parameters (Å, degrees): 5.044 5.044 5.044 90.00 90.00 90.00
Fractional positions:
P1 0.000 0.000 0.000
I1 0.000 0.500 0.500
I2 0.500 0.000 0.500
I3 0.500 0.500 0.000
O1 0.500 0.500 0.500

Calculated values
ΔE_f (raw)   0.9316 eV/atom
Space group   No. 221

---

No. 5
This record from Alexandria via LeMat-Bulk describes crystalline RuRh at its relaxed geometry. The functional is PBE.

Lattice parameters (Å, degrees): 2.698 2.698 13.351 90.00 90.00 120.00
Fractional positions:
Ru1 0.000 0.000 0.000
Ru2 0.333 0.667 0.667
Ru3 0.667 0.333 0.333
Rh1 0.000 0.000 0.500
Rh2 0.333 0.667 0.167
Rh3 0.667 0.333 0.833

Calculated values
ΔE_f   57 meV/atom
Space group   No. 166

---

No. 6
This record from Alexandria via LeMat-Bulk describes crystalline Ac2TmBi at its relaxed geometry. The functional is PBE.

Lattice parameters (Å, degrees): 8.402 8.402 8.402 90.00 90.00 90.00
Fractional positions:
Ac1 0.250 0.250 0.250
Ac2 0.250 0.250 0.750
Ac3 0.250 0.750 0.250
Ac4 0.250 0.750 0.750
Ac5 0.750 0.250 0.250
Ac6 0.750 0.250 0.750
Ac7 0.750 0.750 0.250
Ac8 0.750 0.750 0.750
Tm1 0.000 0.000 0.000
Tm2 0.000 0.500 0.500
Tm3 0.500 0.000 0.500
Tm4 0.500 0.500 0.000
Bi1 0.000 0.000 0.500
Bi2 0.000 0.500 0.000
Bi3 0.500 0.000 0.000
Bi4 0.500 0.500 0.500

Calculated values
ΔE_f   -154 meV/atom
Space group   No. 225

---

no.,DOS(E_F) (states/eV per atom)
1,1.562
2,0.582
3,1.029
4,0.741
5,0.925
6,1.198